(1)
! SCAN BaSrTl, PBEsol geometry; values from VASP
! Uncorrected energy   -45.125 eV per atom
! Volume   133.6 Å³/cell
! Crystal system   cubic
! Energy of formation   -0.40 eV/atom
! Space group   F-43m
&SYSTEM
  ibrav = 0, nat = 3, ntyp = 3
/
ATOMIC_SPECIES
Sr 87.62 Sr.upf
Ba 137.33 Ba.upf
Tl 204.38 Tl.upf
ATOMIC_POSITIONS crystal
Sr 0.500 0.500 0.500
Ba 0.000 0.000 0.000
Tl 0.250 0.250 0.250
CELL_PARAMETERS angstrom
-2.364 -0.593 -5.195
-5.519 -1.492 -0.487
-3.854 3.827 -1.852

***

(2)
! SCAN BaSr2Tl2, PBEsol geometry; values from VASP
! Uncorrected energy   -46.247 eV per atom
! Volume   377.7 Å³/cell
! Crystal system   tetragonal
! Energy of formation   -0.48 eV/atom
! Space group   P4/mbm
&SYSTEM
  ibrav = 0, nat = 10, ntyp = 3
/
ATOMIC_SPECIES
Sr 87.62 Sr.upf
Ba 137.33 Ba.upf
Tl 204.38 Tl.upf
ATOMIC_POSITIONS crystal
Sr 0.500 0.836 0.336
Sr 0.500 0.164 0.664
Sr 0.500 0.336 0.164
Sr 0.500 0.664 0.836
Ba 0.000 0.000 0.000
Ba 0.000 0.500 0.500
Tl 0.000 0.628 0.128
Tl 0.000 0.872 0.628
Tl 0.000 0.372 0.872
Tl 0.000 0.128 0.372
CELL_PARAMETERS angstrom
-1.886 -0.141 3.941
-7.016 -4.969 -3.535
4.594 -7.851 1.917

***

(3)
! SCAN BaSr2Tl, PBEsol geometry; values from VASP
! Uncorrected energy   -39.426 eV per atom
! E above lowest polymorph   12 meV per atom
! Volume   173.7 Å³/cell
! Crystal system   orthorhombic
! Energy of formation   -0.31 eV/atom
! Space group   Immm
&SYSTEM
  ibrav = 0, nat = 4, ntyp = 3
/
ATOMIC_SPECIES
Sr 87.62 Sr.upf
Tl 204.38 Tl.upf
Ba 137.33 Ba.upf
ATOMIC_POSITIONS crystal
Sr 0.800 0.800 0.601
Sr 0.200 0.200 0.399
Tl 0.500 0.000 0.000
Ba 0.000 0.500 0.000
CELL_PARAMETERS angstrom
4.178 0.000 0.000
0.000 6.303 0.000
-2.089 -3.151 6.596

***

(4)
! SCAN BaSr2Tl, PBEsol geometry; values from VASP
! Uncorrected energy   -39.422 eV per atom
! E above lowest polymorph   17 meV per atom
! Volume   174.1 Å³/cell
! Crystal system   tetragonal
! Energy of formation   -0.31 eV/atom
! Space group   P4/mmm
&SYSTEM
  ibrav = 0, nat = 4, ntyp = 3
/
ATOMIC_SPECIES
Ba 137.33 Ba.upf
Tl 204.38 Tl.upf
Sr 87.62 Sr.upf
ATOMIC_POSITIONS crystal
Ba 0.500 0.500 0.500
Tl 0.500 0.500 0.000
Sr 0.000 0.000 0.183
Sr 0.000 0.000 0.817
CELL_PARAMETERS angstrom
-3.043 2.648 -0.348
-2.659 -2.954 0.774
0.662 2.125 10.387

***

(5)
! SCAN BaSr2Tl, PBEsol geometry; values from VASP
! Uncorrected energy   -39.439 eV per atom
! E above lowest polymorph   0 meV per atom
! Volume   177.0 Å³/cell
! Crystal system   tetragonal
! Energy of formation   -0.32 eV/atom
! Space group   P4mm
&SYSTEM
  ibrav = 0, nat = 4, ntyp = 3
/
ATOMIC_SPECIES
Sr 87.62 Sr.upf
Tl 204.38 Tl.upf
Ba 137.33 Ba.upf
ATOMIC_POSITIONS crystal
Sr 0.000 0.000 0.012
Sr 0.500 0.500 0.311
Tl 0.000 0.000 0.486
Ba 0.500 0.500 0.691
CELL_PARAMETERS angstrom
4.131 0.000 0.000
0.000 4.131 0.000
0.000 0.000 10.374

***

(6)
! SCAN BaSr2Tl, PBEsol geometry; values from VASP
! Uncorrected energy   -39.381 eV per atom
! E above lowest polymorph   58 meV per atom
! Volume   171.0 Å³/cell
! Crystal system   orthorhombic
! Energy of formation   -0.27 eV/atom
! Space group   Imm2
&SYSTEM
  ibrav = 0, nat = 4, ntyp = 3
/
ATOMIC_SPECIES
Tl 204.38 Tl.upf
Sr 87.62 Sr.upf
Ba 137.33 Ba.upf
ATOMIC_POSITIONS crystal
Tl 0.495 0.495 0.989
Sr 0.003 0.003 0.005
Sr 0.800 0.300 0.600
Ba 0.203 0.703 0.406
CELL_PARAMETERS angstrom
4.171 0.000 0.000
0.000 6.163 0.000
-2.085 -3.082 6.653

***

(7)
! SCAN BaSrTl, PBEsol geometry; values from VASP
! Uncorrected energy   -45.176 eV per atom
! Volume   124.1 Å³/cell
! Crystal system   tetragonal
! Energy of formation   -0.45 eV/atom
! Space group   I4mm
&SYSTEM
  ibrav = 0, nat = 3, ntyp = 3
/
ATOMIC_SPECIES
Ba 137.33 Ba.upf
Tl 204.38 Tl.upf
Sr 87.62 Sr.upf
ATOMIC_POSITIONS crystal
Ba 0.971 0.971 0.941
Tl 0.326 0.326 0.652
Sr 0.703 0.703 0.407
CELL_PARAMETERS angstrom
-1.823 -2.431 2.833
3.612 -0.354 2.021
-2.524 7.190 1.500

***

(8)
! SCAN Ba2SrW, PBEsol geometry; values from VASP
! Uncorrected energy   -41.507 eV per atom
! E above lowest polymorph   201 meV per atom
! Volume   147.1 Å³/cell
! Crystal system   trigonal
! Energy of formation   1.26 eV/atom
! Space group   R-3m
&SYSTEM
  ibrav = 0, nat = 4, ntyp = 3
/
ATOMIC_SPECIES
Ba 137.33 Ba.upf
W 183.84 W.upf
Sr 87.62 Sr.upf
ATOMIC_POSITIONS crystal
Ba 0.232 0.232 0.304
Ba 0.768 0.768 0.696
W 0.500 0.500 0.500
Sr 0.000 0.000 0.000
CELL_PARAMETERS angstrom
-3.740 -0.036 -0.020
-1.835 -2.795 -1.678
-1.853 -7.192 9.839

***

(9)
! SCAN Ba2SrW, PBEsol geometry; values from VASP
! Uncorrected energy   -41.709 eV per atom
! E above lowest polymorph   0 meV per atom
! Volume   153.2 Å³/cell
! Crystal system   tetragonal
! Energy of formation   1.06 eV/atom
! Space group   P4mm
&SYSTEM
  ibrav = 0, nat = 4, ntyp = 3
/
ATOMIC_SPECIES
W 183.84 W.upf
Sr 87.62 Sr.upf
Ba 137.33 Ba.upf
ATOMIC_POSITIONS crystal
W 0.500 0.500 0.749
Sr 0.000 0.000 0.570
Ba 0.000 0.000 0.933
Ba 0.500 0.500 0.248
CELL_PARAMETERS angstrom
3.843 0.000 0.000
0.000 3.843 0.000
0.000 0.000 10.373

***

(10)
! SCAN BaSrW, PBEsol geometry; values from VASP
! Uncorrected energy   -42.317 eV per atom
! Volume   81.5 Å³/cell
! Crystal system   hexagonal
! Energy of formation   1.52 eV/atom
! Space group   P-6m2
&SYSTEM
  ibrav = 0, nat = 3, ntyp = 3
/
ATOMIC_SPECIES
W 183.84 W.upf
Ba 137.33 Ba.upf
Sr 87.62 Sr.upf
ATOMIC_POSITIONS crystal
W 0.500 0.667 0.333
Ba 0.500 0.000 0.000
Sr 0.000 0.333 0.667
CELL_PARAMETERS angstrom
-1.698 2.602 -0.483
-0.884 0.423 5.383
4.356 2.424 -2.256

***

(11)
! SCAN Ba2SrW, PBEsol geometry; values from VASP
! Uncorrected energy   -41.609 eV per atom
! E above lowest polymorph   100 meV per atom
! Volume   154.5 Å³/cell
! Crystal system   orthorhombic
! Energy of formation   1.16 eV/atom
! Space group   Immm
&SYSTEM
  ibrav = 0, nat = 4, ntyp = 3
/
ATOMIC_SPECIES
Ba 137.33 Ba.upf
W 183.84 W.upf
Sr 87.62 Sr.upf
ATOMIC_POSITIONS crystal
Ba 0.670 0.670 0.339
Ba 0.330 0.330 0.661
W 0.000 0.500 0.000
Sr 0.500 0.000 0.000
CELL_PARAMETERS angstrom
3.421 0.000 0.000
0.000 5.829 0.000
-1.711 -2.914 7.750

***

(12)
! SCAN BaSr2Zn2, PBEsol geometry; values from VASP
! Uncorrected energy   -22.323 eV per atom
! Volume   314.5 Å³/cell
! Crystal system   tetragonal
! Energy of formation   -0.10 eV/atom
! Space group   P4/mbm
&SYSTEM
  ibrav = 0, nat = 10, ntyp = 3
/
ATOMIC_SPECIES
Zn 65.41 Zn.upf
Sr 87.62 Sr.upf
Ba 137.33 Ba.upf
ATOMIC_POSITIONS crystal
Zn 0.500 0.838 0.338
Zn 0.500 0.162 0.662
Zn 0.500 0.662 0.838
Zn 0.500 0.338 0.162
Sr 0.000 0.866 0.634
Sr 0.000 0.366 0.866
Sr 0.000 0.634 0.134
Sr 0.000 0.134 0.366
Ba 0.000 0.000 0.000
Ba 0.000 0.500 0.500
CELL_PARAMETERS angstrom
3.718 0.000 0.000
0.000 9.198 0.000
0.000 0.000 9.198

***

Question: Which formula does entry 9 have?
Answer: Ba2SrW